A plane-wave DFT calculation with PBE-GGA was carried out for a relaxed Sr5Os crystal.

abc: 10.3878 10.3878 5.8319
angles: 90.00 90.00 156.54
Last column: nearest neighbours and their distance in Å.
Positions (direct):
1 Sr 0.1038 0.8962 0.5000  6 Sr 3.48-3.60, 2 Os 3.61
2 Sr 0.6065 0.3935 0.0000  2 Os 3.04
3 Sr 0.4678 0.5322 0.5000  4 Sr 3.41-3.48, 4 Os 3.66
4 Sr 0.3807 0.6193 0.0000  2 Os 3.20, 2 Sr 3.41
5 Sr 0.7754 0.2246 0.5000  12 Sr 4.08-4.51
6 Os 0.9992 0.0008 0.0000  4 Sr 3.04-3.20

Calculated values
Volume (Å³/cell): 250.5
Spin magnetization (μB/atom): 0.00
Polymorph energy (0 for the lowest one) (eV per formula unit): 0.66
Energy of formation (eV/atom): 0.4955
Space-group type: Amm2, No. 38
Crystal system: orthorhombic